Compound: Sn
Source: the Alexandria database
Functional: GGA-PBEsol
Structure: optimized geometry

Energy relative to the elements (eV/atom): 0.000
Distance to the lowest polymorph of the same formula (kcal/mol of atoms): 0.00
Calculated density (Mg/m³): 7.405
Crystal system: tetragonal
Magnetization (μB/f.u.): 0.00

a = 3.1457 Å, b = 4.4043 Å, c = 4.4043 Å
α = 82.67°, β = 69.08°, γ = 69.08°
Atoms (fractional coordinates):
Sn (0.0000, 0.0000, 0.0000)
Sn (0.7500, 0.5000, 0.5000)